Entry 1:
Below is a relaxed structure of PmI, with properties calculated at the PBE level.

Values from the calculation:
SG   F-43m
Total moment   0.29 Bohr magnetons per cell
Offset from the most stable computed form   645 meV per atom

abc: 4.9968 4.9968 4.9968
angles: 60.00 60.00 60.00
Last column: nearest neighbours and their distance in Å.
Sites, in units of the cell vectors:
Pm  0.0000  0.0000  0.0000  4 I 3.06
I  0.2500  0.2500  0.2500  4 Pm 3.06

---

Entry 2:
Below is a relaxed structure of KSr3Ir, with properties calculated at the PBE level.

Values from the calculation:
SG   Pm
Total moment   0.03 Bohr magnetons per cell
Offset from the most stable computed form   0 meV per atom

abc: 9.7793 4.3269 10.9805
angles: 90.00 102.45 90.00
Last column: nearest neighbours and their distance in Å.
Sites, in units of the cell vectors:
K  0.0000  0.0000  0.0000  4 K 4.33-4.56, 7 Sr 4.34-4.81
K  0.4203  0.5000  0.0902  4 K 4.33-4.56, 7 Sr 4.33-4.82
Sr  0.1689  0.5000  0.6701  3 Ir 3.17-3.33, 1 Sr 3.51
Sr  0.2478  0.0000  0.4201  3 Ir 3.17-3.33, 1 Sr 3.51
Sr  0.5125  0.0000  0.7548  2 Ir 3.00
Sr  0.6078  0.0000  0.4266  3 Ir 3.13-3.34, 1 Sr 3.51
Sr  0.8090  0.5000  0.6640  3 Ir 3.13-3.34, 1 Sr 3.51
Sr  0.9040  0.5000  0.3355  2 Ir 3.00
Ir  0.4616  0.5000  0.5612  8 Sr 3.00-3.34
Ir  0.9550  0.0000  0.5292  8 Sr 3.00-3.34

---

Entry 3:
Below is a relaxed structure of BaSrCdSe3, with properties calculated at the PBE level.

Values from the calculation:
SG   Pnma
Offset from the most stable computed form   0 meV per atom

abc: 9.3005 4.5097 17.4839
angles: 90.00 90.00 90.00
Last column: nearest neighbours and their distance in Å.
Sites, in units of the cell vectors:
Ba  0.0762  0.2500  0.2115  7 Se 3.35-3.48
Ba  0.4238  0.7500  0.7115  7 Se 3.35-3.48
Ba  0.5762  0.2500  0.2885  7 Se 3.35-3.48
Ba  0.9238  0.7500  0.7885  7 Se 3.35-3.48
Sr  0.2441  0.2500  0.9610  7 Se 3.10-3.44
Sr  0.2559  0.7500  0.4610  7 Se 3.10-3.44
Sr  0.7441  0.2500  0.5390  7 Se 3.10-3.44
Sr  0.7559  0.7500  0.0390  7 Se 3.10-3.44
Cd  0.1213  0.2500  0.6313  4 Se 2.67-2.70
Cd  0.3787  0.7500  0.1313  4 Se 2.67-2.70
Cd  0.6213  0.2500  0.8687  4 Se 2.67-2.70
Cd  0.8787  0.7500  0.3687  4 Se 2.67-2.70
Se  0.0201  0.2500  0.4083  2 Cd 2.70
Se  0.1217  0.7500  0.0636  1 Cd 2.67
Se  0.1891  0.2500  0.7808  1 Cd 2.69
Se  0.3109  0.7500  0.2808  1 Cd 2.69
Se  0.3783  0.2500  0.5636  1 Cd 2.67
Se  0.4799  0.7500  0.9083  2 Cd 2.70
Se  0.5201  0.2500  0.0917  2 Cd 2.70
Se  0.6217  0.7500  0.4364  1 Cd 2.67
Se  0.6891  0.2500  0.7192  1 Cd 2.69
Se  0.8109  0.7500  0.2192  1 Cd 2.69
Se  0.8783  0.2500  0.9364  1 Cd 2.67
Se  0.9799  0.7500  0.5917  2 Cd 2.70

---

Entry 4:
Below is a relaxed structure of ErTl2P2Se7, with properties calculated at the PBE level.

Values from the calculation:
SG   C2/c
Total moment   0.00 Bohr magnetons per cell
Energy   -4.304 eV/atom

abc: 12.5571 12.5571 19.4652
angles: 117.77 117.77 32.56
Last column: nearest neighbours and their distance in Å.
Sites, in units of the cell vectors:
Er  0.1080  0.2135  0.2392  7 Se 2.89-3.07
Er  0.2135  0.1080  0.7392  7 Se 2.89-3.07
Er  0.7865  0.8920  0.2608  7 Se 2.89-3.07
Er  0.8920  0.7865  0.7608  7 Se 2.89-3.07
Tl  0.1639  0.1806  0.0204  3 Se 3.20-3.29
Tl  0.1806  0.1639  0.5204  3 Se 3.20-3.29
Tl  0.4622  0.5316  0.1293  8 Se 3.34-3.70
Tl  0.4684  0.5378  0.3707  8 Se 3.34-3.70
Tl  0.5316  0.4622  0.6293  8 Se 3.34-3.70
Tl  0.5378  0.4684  0.8707  8 Se 3.34-3.70
Tl  0.8194  0.8361  0.4796  3 Se 3.20-3.29
Tl  0.8361  0.8194  0.9796  3 Se 3.20-3.29
P  0.0134  0.0809  0.3061  3 Se 2.18-2.22, 1 P 2.26
P  0.0809  0.0134  0.8061  3 Se 2.18-2.22, 1 P 2.26
P  0.3165  0.3432  0.3579  4 Se 2.21-2.25
P  0.3432  0.3165  0.8579  4 Se 2.21-2.25
P  0.6568  0.6835  0.1421  4 Se 2.21-2.25
P  0.6835  0.6568  0.6421  4 Se 2.21-2.25
P  0.9191  0.9866  0.1939  3 Se 2.18-2.22, 1 P 2.26
P  0.9866  0.9191  0.6939  3 Se 2.18-2.22, 1 P 2.26
Se  0.0068  0.9462  0.5989  1 P 2.18
Se  0.0538  0.9932  0.9011  1 P 2.18
Se  0.1115  0.6850  0.1984  1 P 2.21
Se  0.1182  0.6641  0.3890  1 P 2.24
Se  0.1689  0.6269  0.9089  1 P 2.24
Se  0.1939  0.6104  0.6987  1 P 2.22
Se  0.2205  0.3306  0.7292  1 P 2.25
Se  0.2300  0.2914  0.4014  1 P 2.21
Se  0.2914  0.2300  0.9014  1 P 2.21
Se  0.3150  0.8885  0.3016  1 P 2.21
Se  0.3306  0.2205  0.2292  1 P 2.25
Se  0.3359  0.8818  0.1110  1 P 2.24
Se  0.3731  0.8311  0.5911  1 P 2.24
Se  0.3896  0.8061  0.8013  1 P 2.22
Se  0.6104  0.1939  0.1987  1 P 2.22
Se  0.6269  0.1689  0.4089  1 P 2.24
Se  0.6641  0.1182  0.8890  1 P 2.24
Se  0.6694  0.7795  0.7708  1 P 2.25
Se  0.6850  0.1115  0.6984  1 P 2.21
Se  0.7086  0.7700  0.0986  1 P 2.21
Se  0.7700  0.7086  0.5986  1 P 2.21
Se  0.7795  0.6694  0.2708  1 P 2.25
Se  0.8061  0.3896  0.3013  1 P 2.22
Se  0.8311  0.3731  0.0911  1 P 2.24
Se  0.8818  0.3359  0.6110  1 P 2.24
Se  0.8885  0.3150  0.8016  1 P 2.21
Se  0.9462  0.0068  0.0989  1 P 2.18
Se  0.9932  0.0538  0.4011  1 P 2.18

---

Entry 5:
Below is a relaxed structure of NaDyPb, with properties calculated at the PBE level.

Values from the calculation:
SG   F-43m
Total moment   0.00 Bohr magnetons per cell
Energy   -3.389 eV/atom

abc: 5.1766 5.1766 5.1766
angles: 60.00 60.00 60.00
Last column: nearest neighbours and their distance in Å.
Sites, in units of the cell vectors:
Na  0.0000  0.0000  0.0000  4 Pb 3.17
Dy  0.5000  0.5000  0.5000  4 Pb 3.17
Pb  0.7500  0.7500  0.7500  4 Dy 3.17, 4 Na 3.17

---

Entry 6:
Below is a relaxed structure of KGdSO, with properties calculated at the PBE level.

Values from the calculation:
SG   R3m
Total moment   0.00 Bohr magnetons per cell
Offset from the most stable computed form   85 meV per atom

abc: 7.2304 7.2304 7.2304
angles: 30.12 30.12 30.12
Last column: nearest neighbours and their distance in Å.
Sites, in units of the cell vectors:
K  0.0000  0.0000  0.0000  3 S 3.03, 3 O 3.03
Gd  0.4832  0.4832  0.4832  3 O 2.38
S  0.2311  0.2311  0.2311  3 Gd 2.74, 3 K 3.03
O  0.7690  0.7690  0.7690  3 Gd 2.38

---

Entry 7:
Below is a relaxed structure of FeGeOsW, with properties calculated at the PBE level.

Values from the calculation:
SG   F-43m
Total moment   1.88 Bohr magnetons per cell
Offset from the most stable computed form   0 meV per atom

abc: 4.3069 4.3069 4.3069
angles: 60.00 60.00 60.00
Last column: nearest neighbours and their distance in Å.
Sites, in units of the cell vectors:
Fe  0.0000  0.0000  0.0000  4 Ge 2.64, 4 W 2.64
Ge  0.7500  0.7500  0.7500  4 Fe 2.64, 4 Os 2.64
Os  0.5000  0.5000  0.5000  4 Ge 2.64, 4 W 2.64
W  0.2500  0.2500  0.2500  4 Fe 2.64, 4 Os 2.64

---

Entry 8:
Below is a relaxed structure of TcN, with properties calculated at the PBE level.

Values from the calculation:
SG   F-43m
Total moment   0.00 Bohr magnetons per cell
Offset from the most stable computed form   94 meV per atom

abc: 3.2353 3.2353 3.2353
angles: 60.00 60.00 60.00
Last column: nearest neighbours and their distance in Å.
Sites, in units of the cell vectors:
Tc  0.0000  0.0000  0.0000  4 N 1.98
N  0.2500  0.2500  0.2500  4 Tc 1.98

---

Entry 9:
Below is a relaxed structure of HfZr2Al3CuIr2, with properties calculated at the PBE level.

Values from the calculation:
SG   Amm2
Total moment   0.01 Bohr magnetons per cell
Energy   -7.383 eV/atom

abc: 3.4523 7.1929 7.1929
angles: 119.93 90.00 90.00
Last column: nearest neighbours and their distance in Å.
Sites, in units of the cell vectors:
Hf  0.0000  0.0000  0.0000  4 Ir 2.77, 1 Cu 2.88, 6 Al 3.01-3.07
Zr  0.0000  0.4026  0.8048  4 Ir 2.80, 1 Cu 2.90, 6 Al 3.00-3.07
Zr  0.0000  0.8048  0.4026  4 Ir 2.80, 1 Cu 2.90, 6 Al 3.00-3.07
Al  0.5000  0.1455  0.4020  2 Cu 2.52, 2 Ir 2.70-2.74
Al  0.5000  0.4020  0.1455  2 Cu 2.52, 2 Ir 2.70-2.74
Al  0.5000  0.6576  0.6576  2 Cu 2.53, 2 Ir 2.71
Cu  0.0000  0.4006  0.4006  6 Al 2.52-2.53
Ir  0.5000  0.0684  0.7392  3 Al 2.70-2.74, 2 Hf 2.77, 4 Zr 2.80
Ir  0.5000  0.7392  0.0684  3 Al 2.70-2.74, 2 Hf 2.77, 4 Zr 2.80

---

Entry 10:
Below is a relaxed structure of NdBeTl, with properties calculated at the PBE level.

Values from the calculation:
SG   F-43m
Total moment   0.00 Bohr magnetons per cell
Offset from the most stable computed form   324 meV per atom

abc: 4.8317 4.8317 4.8317
angles: 60.00 60.00 60.00
Last column: nearest neighbours and their distance in Å.
Sites, in units of the cell vectors:
Nd  0.0000  0.0000  0.0000  4 Tl 2.96
Be  0.5000  0.5000  0.5000  4 Tl 2.96
Tl  0.7500  0.7500  0.7500  4 Be 2.96, 4 Nd 2.96

---

Entry 11:
Below is a relaxed structure of PmPrDy, with properties calculated at the PBE level.

Values from the calculation:
SG   F-43m
Total moment   0.05 Bohr magnetons per cell
DFT formation energy   0.724 eV/atom
Offset from the most stable computed form   0 meV per atom

abc: 5.5266 5.5266 5.5266
angles: 60.00 60.00 60.00
Last column: nearest neighbours and their distance in Å.
Sites, in units of the cell vectors:
Pm  0.0000  0.0000  0.0000  4 Dy 3.38, 4 Pr 3.38
Pr  0.2500  0.2500  0.2500  4 Pm 3.38
Dy  0.7500  0.7500  0.7500  4 Pm 3.38

---

Entry 12:
Below is a relaxed structure of Sc5W2C7, with properties calculated at the PBE level.

Values from the calculation:
SG   Cmmm
Total moment   0.00 Bohr magnetons per cell
Energy   -9.188 eV/atom

abc: 7.9792 7.9792 3.2212
angles: 90.00 90.00 120.44
Last column: nearest neighbours and their distance in Å.
Sites, in units of the cell vectors:
Sc  0.0000  0.0000  0.0000  4 C 2.29
Sc  0.1631  0.4180  0.5000  5 C 2.31-2.41
Sc  0.4180  0.1631  0.5000  5 C 2.31-2.41
Sc  0.5820  0.8369  0.5000  5 C 2.31-2.41
Sc  0.8369  0.5820  0.5000  5 C 2.31-2.41
W  0.2134  0.7866  0.0000  4 C 2.05-2.09
W  0.7866  0.2134  0.0000  4 C 2.05-2.09
C  0.0000  0.5000  0.0000  2 W 2.05
C  0.1172  0.8828  0.5000  2 W 2.09, 4 Sc 2.29-2.31
C  0.3295  0.3295  0.0000  1 C 1.35
C  0.5000  0.0000  0.0000  2 W 2.05
C  0.5000  0.5000  0.0000  2 C 1.35
C  0.6705  0.6705  0.0000  1 C 1.35
C  0.8828  0.1172  0.5000  2 W 2.09, 4 Sc 2.29-2.31